Record 1
Entry from the Open Quantum Materials Database: a relaxed ScCuSiMo crystal (PBE-GGA).

```
data_ScCuSiMo
_chemical_formula_sum 'Sc4 Cu4 Si4 Mo4'
_cell_length_a 6.203
_cell_length_b 6.203
_cell_length_c 6.203
_cell_angle_alpha 90.00
_cell_angle_beta 90.00
_cell_angle_gamma 90.00
_symmetry_space_group_name_H-M 'F -4 3 m'
_symmetry_Int_Tables_number 216
_symmetry_space_group_name_Hall 'F -4 2 3'
loop_
_atom_site_label
_atom_site_fract_x
_atom_site_fract_y
_atom_site_fract_z
_atom_site_occupancy
Sc1 0.000 0.000 0.000 1
Cu1 0.250 0.250 0.750 1
Si1 0.000 0.000 0.500 1
Mo1 0.250 0.250 0.250 1
```

total moment	0.002	μB/atom
final energy	-105.0	eV/cell
energy relative to the lowest polymorph listed for this composition	0	meV per atom
V	14.92	Å³/atom

---

Record 2
Entry from the Open Quantum Materials Database: a relaxed ScCuSnMo crystal (PBE-GGA).

```
data_ScCuSnMo
_chemical_formula_sum 'Sc4 Cu4 Sn4 Mo4'
_cell_length_a 6.563
_cell_length_b 6.563
_cell_length_c 6.563
_cell_angle_alpha 90.00
_cell_angle_beta 90.00
_cell_angle_gamma 90.00
_symmetry_space_group_name_H-M 'F -4 3 m'
_symmetry_Int_Tables_number 216
_symmetry_space_group_name_Hall 'F -4 2 3'
loop_
_atom_site_label
_atom_site_fract_x
_atom_site_fract_y
_atom_site_fract_z
_atom_site_occupancy
Sc1 0.000 0.000 0.000 1
Cu1 0.250 0.250 0.750 1
Sn1 0.000 0.000 0.500 1
Mo1 0.250 0.250 0.250 1
```

total moment	0.002	μB/atom
final energy	-97.8	eV/cell
energy relative to the lowest polymorph listed for this composition	0	meV per atom
V	17.67	Å³/atom

---

Record 3
Entry from the Open Quantum Materials Database: a relaxed CuMo3Se5 crystal (PBE-GGA).

```
data_CuMo3Se5
_chemical_formula_sum 'Cu1 Mo3 Se5'
_cell_length_a 5.5874
_cell_length_b 5.5874
_cell_length_c 7.4055
_cell_angle_alpha 90.00
_cell_angle_beta 90.00
_cell_angle_gamma 120.00
_symmetry_space_group_name_H-M 'P 6/m m m'
_symmetry_Int_Tables_number 191
_symmetry_space_group_name_Hall '-P 6 2'
loop_
_atom_site_label
_atom_site_fract_x
_atom_site_fract_y
_atom_site_fract_z
_atom_site_occupancy
Cu1 0.0000 0.0000 0.0000 1
Mo1 0.0000 0.5000 0.5000 1
Se1 0.0000 0.0000 0.5000 1
Se2 0.3333 0.6667 0.2273 1
```

total moment	0.298	μB/atom
final energy	-52.4	eV/cell
V	22.25	Å³/atom

---

Record 4
Entry from the Open Quantum Materials Database: a relaxed TlCuTeMoSe2 crystal (PBE-GGA).

```
data_TlCuTeMoSe2
_chemical_formula_sum 'Tl4 Cu4 Te4 Mo4 Se8'
_cell_length_a 3.558
_cell_length_b 16.015
_cell_length_c 10.151
_cell_angle_alpha 90.00
_cell_angle_beta 90.00
_cell_angle_gamma 90.00
_symmetry_space_group_name_H-M 'C m c m'
_symmetry_Int_Tables_number 63
_symmetry_space_group_name_Hall '-C 2c 2'
loop_
_atom_site_label
_atom_site_fract_x
_atom_site_fract_y
_atom_site_fract_z
_atom_site_occupancy
Tl1 0.000 0.231 0.250 1
Cu1 0.000 0.458 0.750 1
Te1 0.000 0.079 0.750 1
Mo1 0.000 0.000 0.000 1
Se1 0.000 0.385 0.546 1
```

total moment	0.208	μB/atom
final energy	-112.6	eV/cell
V	24.10	Å³/atom

---

Record 5
Entry from the Open Quantum Materials Database: a relaxed TlCu3MoSe4 crystal (PBE-GGA).

```
data_TlCu3MoSe4
_chemical_formula_sum 'Tl1 Cu3 Mo1 Se4'
_cell_length_a 6.109
_cell_length_b 6.109
_cell_length_c 6.109
_cell_angle_alpha 90.00
_cell_angle_beta 90.00
_cell_angle_gamma 90.00
_symmetry_space_group_name_H-M 'P -4 3 m'
_symmetry_Int_Tables_number 215
_symmetry_space_group_name_Hall 'P -4 2 3'
loop_
_atom_site_label
_atom_site_fract_x
_atom_site_fract_y
_atom_site_fract_z
_atom_site_occupancy
Tl1 0.000 0.000 0.000 1
Cu1 0.000 0.500 0.500 1
Mo1 0.500 0.500 0.500 1
Se1 0.272 0.272 0.272 1
```

total moment	0.218	μB/atom
final energy	-39.2	eV/cell
V	25.34	Å³/atom

---

Record 6
Entry from the Open Quantum Materials Database: a relaxed CuSi5Mo3 crystal (PBE-GGA).

```
data_CuSi5Mo3
_chemical_formula_sum 'Cu1 Si5 Mo3'
_cell_length_a 5.3347
_cell_length_b 5.3347
_cell_length_c 6.3664
_cell_angle_alpha 90.00
_cell_angle_beta 90.00
_cell_angle_gamma 120.00
_symmetry_space_group_name_H-M 'P 6/m m m'
_symmetry_Int_Tables_number 191
_symmetry_space_group_name_Hall '-P 6 2'
loop_
_atom_site_label
_atom_site_fract_x
_atom_site_fract_y
_atom_site_fract_z
_atom_site_occupancy
Cu1 0.0000 0.0000 0.0000 1
Si1 0.0000 0.0000 0.5000 1
Si2 0.3333 0.6667 0.1801 1
Mo1 0.0000 0.5000 0.5000 1
```

total moment	0.000	μB/atom
final energy	-60.9	eV/cell
V	17.43	Å³/atom

---

Record 7
Entry from the Open Quantum Materials Database: a relaxed TaCuSiMo crystal (PBE-GGA).

```
data_TaCuSiMo
_chemical_formula_sum 'Ta4 Cu4 Si4 Mo4'
_cell_length_a 6.178
_cell_length_b 6.178
_cell_length_c 6.178
_cell_angle_alpha 90.00
_cell_angle_beta 90.00
_cell_angle_gamma 90.00
_symmetry_space_group_name_H-M 'F -4 3 m'
_symmetry_Int_Tables_number 216
_symmetry_space_group_name_Hall 'F -4 2 3'
loop_
_atom_site_label
_atom_site_fract_x
_atom_site_fract_y
_atom_site_fract_z
_atom_site_occupancy
Ta1 0.000 0.000 0.000 1
Cu1 0.250 0.250 0.750 1
Si1 0.000 0.000 0.500 1
Mo1 0.250 0.250 0.250 1
```

total moment	0.000	μB/atom
final energy	-125.7	eV/cell
energy relative to the lowest polymorph listed for this composition	0	meV per atom
V	14.74	Å³/atom

---

Record 8
Entry from the Open Quantum Materials Database: a relaxed CuSiTcMo crystal (PBE-GGA).

```
data_CuSiTcMo
_chemical_formula_sum 'Cu4 Si4 Tc4 Mo4'
_cell_length_a 5.996
_cell_length_b 5.996
_cell_length_c 5.996
_cell_angle_alpha 90.00
_cell_angle_beta 90.00
_cell_angle_gamma 90.00
_symmetry_space_group_name_H-M 'F -4 3 m'
_symmetry_Int_Tables_number 216
_symmetry_space_group_name_Hall 'F -4 2 3'
loop_
_atom_site_label
_atom_site_fract_x
_atom_site_fract_y
_atom_site_fract_z
_atom_site_occupancy
Cu1 0.000 0.000 0.000 1
Si1 0.000 0.000 0.500 1
Tc1 0.250 0.250 0.250 1
Mo1 0.250 0.250 0.750 1
```

total moment	0.001	μB/atom
final energy	-121.2	eV/cell
energy relative to the lowest polymorph listed for this composition	20	meV per atom
V	13.47	Å³/atom

---

Record 9
Entry from the Open Quantum Materials Database: a relaxed CuSiTcMo crystal (PBE-GGA).

```
data_CuSiTcMo
_chemical_formula_sum 'Cu4 Si4 Tc4 Mo4'
_cell_length_a 6.031
_cell_length_b 6.031
_cell_length_c 6.031
_cell_angle_alpha 90.00
_cell_angle_beta 90.00
_cell_angle_gamma 90.00
_symmetry_space_group_name_H-M 'F -4 3 m'
_symmetry_Int_Tables_number 216
_symmetry_space_group_name_Hall 'F -4 2 3'
loop_
_atom_site_label
_atom_site_fract_x
_atom_site_fract_y
_atom_site_fract_z
_atom_site_occupancy
Cu1 0.000 0.000 0.000 1
Si1 0.250 0.250 0.750 1
Tc1 0.000 0.000 0.500 1
Mo1 0.250 0.250 0.250 1
```

total moment	0.001	μB/atom
final energy	-121.6	eV/cell
energy relative to the lowest polymorph listed for this composition	0	meV per atom
V	13.71	Å³/atom

---

Record 10
Entry from the Open Quantum Materials Database: a relaxed YCuSiMo crystal (PBE-GGA).

```
data_YCuSiMo
_chemical_formula_sum 'Y4 Cu4 Si4 Mo4'
_cell_length_a 6.563
_cell_length_b 6.563
_cell_length_c 6.563
_cell_angle_alpha 90.00
_cell_angle_beta 90.00
_cell_angle_gamma 90.00
_symmetry_space_group_name_H-M 'F -4 3 m'
_symmetry_Int_Tables_number 216
_symmetry_space_group_name_Hall 'F -4 2 3'
loop_
_atom_site_label
_atom_site_fract_x
_atom_site_fract_y
_atom_site_fract_z
_atom_site_occupancy
Y1 0.000 0.000 0.000 1
Cu1 0.000 0.000 0.500 1
Si1 0.250 0.250 0.250 1
Mo1 0.250 0.250 0.750 1
```

total moment	0.414	μB/atom
final energy	-96.5	eV/cell
energy relative to the lowest polymorph listed for this composition	348	meV per atom
V	17.67	Å³/atom

---

Record 11
Entry from the Open Quantum Materials Database: a relaxed YCuSiMo crystal (PBE-GGA).

```
data_YCuSiMo
_chemical_formula_sum 'Y4 Cu4 Si4 Mo4'
_cell_length_a 6.420
_cell_length_b 6.420
_cell_length_c 6.420
_cell_angle_alpha 90.00
_cell_angle_beta 90.00
_cell_angle_gamma 90.00
_symmetry_space_group_name_H-M 'F -4 3 m'
_symmetry_Int_Tables_number 216
_symmetry_space_group_name_Hall 'F -4 2 3'
loop_
_atom_site_label
_atom_site_fract_x
_atom_site_fract_y
_atom_site_fract_z
_atom_site_occupancy
Y1 0.000 0.000 0.000 1
Cu1 0.250 0.250 0.750 1
Si1 0.000 0.000 0.500 1
Mo1 0.250 0.250 0.250 1
```

total moment	0.001	μB/atom
final energy	-102.0	eV/cell
energy relative to the lowest polymorph listed for this composition	0	meV per atom
V	16.54	Å³/atom

---

Record 12
Entry from the Open Quantum Materials Database: a relaxed ZrCuSiMo crystal (PBE-GGA).

```
data_ZrCuSiMo
_chemical_formula_sum 'Zr4 Cu4 Si4 Mo4'
_cell_length_a 6.289
_cell_length_b 6.289
_cell_length_c 6.289
_cell_angle_alpha 90.00
_cell_angle_beta 90.00
_cell_angle_gamma 90.00
_symmetry_space_group_name_H-M 'F -4 3 m'
_symmetry_Int_Tables_number 216
_symmetry_space_group_name_Hall 'F -4 2 3'
loop_
_atom_site_label
_atom_site_fract_x
_atom_site_fract_y
_atom_site_fract_z
_atom_site_occupancy
Zr1 0.000 0.000 0.000 1
Cu1 0.250 0.250 0.750 1
Si1 0.000 0.000 0.500 1
Mo1 0.250 0.250 0.250 1
```

total moment	0.001	μB/atom
final energy	-113.3	eV/cell
energy relative to the lowest polymorph listed for this composition	0	meV per atom
V	15.54	Å³/atom

---

Record 13
Entry from the Open Quantum Materials Database: a relaxed CuTcSnMo crystal (PBE-GGA).

```
data_CuTcSnMo
_chemical_formula_sum 'Cu4 Tc4 Sn4 Mo4'
_cell_length_a 6.315
_cell_length_b 6.315
_cell_length_c 6.315
_cell_angle_alpha 90.00
_cell_angle_beta 90.00
_cell_angle_gamma 90.00
_symmetry_space_group_name_H-M 'F -4 3 m'
_symmetry_Int_Tables_number 216
_symmetry_space_group_name_Hall 'F -4 2 3'
loop_
_atom_site_label
_atom_site_fract_x
_atom_site_fract_y
_atom_site_fract_z
_atom_site_occupancy
Cu1 0.000 0.000 0.000 1
Tc1 0.000 0.000 0.500 1
Sn1 0.250 0.250 0.750 1
Mo1 0.250 0.250 0.250 1
```

total moment	0.001	μB/atom
final energy	-112.6	eV/cell
energy relative to the lowest polymorph listed for this composition	0	meV per atom
V	15.74	Å³/atom

---

Record 14
Entry from the Open Quantum Materials Database: a relaxed CuTcSnMo crystal (PBE-GGA).

```
data_CuTcSnMo
_chemical_formula_sum 'Cu4 Tc4 Sn4 Mo4'
_cell_length_a 6.308
_cell_length_b 6.308
_cell_length_c 6.308
_cell_angle_alpha 90.00
_cell_angle_beta 90.00
_cell_angle_gamma 90.00
_symmetry_space_group_name_H-M 'F -4 3 m'
_symmetry_Int_Tables_number 216
_symmetry_space_group_name_Hall 'F -4 2 3'
loop_
_atom_site_label
_atom_site_fract_x
_atom_site_fract_y
_atom_site_fract_z
_atom_site_occupancy
Cu1 0.000 0.000 0.000 1
Tc1 0.250 0.250 0.250 1
Sn1 0.000 0.000 0.500 1
Mo1 0.250 0.250 0.750 1
```

total moment	0.007	μB/atom
final energy	-109.5	eV/cell
energy relative to the lowest polymorph listed for this composition	196	meV per atom
V	15.69	Å³/atom